VASP calculation (GGA+U) on an optimized crystal structure of NbMoSeF2.

Cell lengths 4.2114, 4.2114, 5.4578 Å; angles 90.00, 90.00, 90.00 degrees
Last column: nearest neighbours and their distance in Å.
Space group P4/mmm (No. 123)
Asymmetric unit:
Nb (0.0000, 0.0000, 0.0000) [1 per cell]  4 F 2.11
Mo (0.5000, 0.5000, 0.5000) [1 per cell]  4 Se 2.98
Se (0.0000, 0.0000, 0.5000) [1 per cell]  2 Nb 2.73, 4 Mo 2.98
F (0.0000, 0.5000, 0.0000) [2 per cell]  2 Nb 2.11

Calculated values
Raw total energy: -29.8 eV per cell
Size of the total moment: 7.00 μB per formula unit